No. 1
This record from the Alexandria database describes a relaxed structure of AlGa3Co4. The functional is PBE.

Lattice parameters (Å, degrees): 2.876 2.876 11.478 90.00 90.00 90.00
Positions (direct):
Co1 0.000 0.000 0.876
Co2 0.000 0.000 0.124
Co3 0.000 0.000 0.374
Co4 0.000 0.000 0.626
Al1 0.500 0.500 0.000
Ga1 0.500 0.500 0.248
Ga2 0.500 0.500 0.500
Ga3 0.500 0.500 0.752

Summary:
total magnetic moment: 0.04 μB/atom
E_form: -0.3621 eV per atom

No. 2
This record from the Alexandria database describes a relaxed structure of CsHoMnTe4. The functional is PBE.

Lattice parameters (Å, degrees): 6.972 7.251 10.735 90.00 110.11 90.00
Positions (direct):
Cs1 0.763 0.750 0.945
Cs2 0.237 0.250 0.055
Ho1 0.771 0.750 0.455
Ho2 0.229 0.250 0.545
Mn1 0.227 0.750 0.335
Mn2 0.773 0.250 0.665
Te1 0.035 0.510 0.702
Te2 0.965 0.010 0.298
Te3 0.965 0.490 0.298
Te4 0.035 0.990 0.702
Te5 0.421 0.750 0.176
Te6 0.579 0.250 0.824
Te7 0.426 0.750 0.579
Te8 0.574 0.250 0.421

Summary:
DFT total energy: -4.632 eV/atom
total magnetic moment: 0.43 μB/atom

No. 3
This record from the Alexandria database describes a relaxed structure of Ga3Hg12Bi5. The functional is PBE.

Lattice parameters (Å, degrees): 14.836 14.836 14.836 109.47 109.47 109.47
Positions (direct):
Ga1 0.750 0.375 0.125
Ga2 0.875 0.750 0.125
Ga3 0.375 0.750 0.625
Ga4 0.250 0.125 0.375
Ga5 0.875 0.125 0.250
Ga6 0.375 0.625 0.250
Ga7 0.625 0.375 0.750
Ga8 0.125 0.875 0.750
Ga9 0.750 0.875 0.625
Ga10 0.625 0.250 0.375
Ga11 0.125 0.250 0.875
Ga12 0.250 0.625 0.875
Bi1 0.125 0.375 0.250
Bi2 0.000 0.500 0.000
Bi3 0.000 0.000 0.000
Bi4 0.375 0.250 0.125
Bi5 0.500 0.000 0.500
Bi6 0.500 0.500 0.000
Bi7 0.125 0.750 0.375
Bi8 0.750 0.125 0.875
Bi9 0.750 0.625 0.375
Bi10 0.375 0.125 0.750
Bi11 0.625 0.875 0.250
Bi12 0.500 0.500 0.500
Bi13 0.500 0.000 0.000
Bi14 0.000 0.000 0.500
Bi15 0.250 0.375 0.625
Bi16 0.250 0.875 0.125
Bi17 0.000 0.500 0.500
Bi18 0.875 0.250 0.625
Bi19 0.625 0.750 0.875
Bi20 0.875 0.625 0.750
Hg1 0.744 0.128 0.070
Hg2 0.326 0.570 0.442
Hg3 0.930 0.372 0.256
Hg4 0.570 0.244 0.128
Hg5 0.616 0.744 0.674
Hg6 0.930 0.558 0.174
Hg7 0.326 0.756 0.384
Hg8 0.058 0.884 0.128
Hg9 0.558 0.930 0.674
Hg10 0.744 0.616 0.174
Hg11 0.756 0.430 0.372
Hg12 0.826 0.942 0.070
Hg13 0.128 0.744 0.570
Hg14 0.372 0.442 0.116
Hg15 0.116 0.942 0.372
Hg16 0.384 0.128 0.558
Hg17 0.116 0.174 0.244
Hg18 0.430 0.674 0.058
Hg19 0.826 0.884 0.256
Hg20 0.128 0.384 0.058
Hg21 0.372 0.930 0.756
Hg22 0.558 0.628 0.384
Hg23 0.942 0.826 0.570
Hg24 0.756 0.326 0.884
Hg25 0.442 0.372 0.616
Hg26 0.058 0.174 0.430
Hg27 0.244 0.674 0.116
Hg28 0.174 0.116 0.744
Hg29 0.628 0.070 0.244
Hg30 0.872 0.616 0.942
Hg31 0.570 0.326 0.942
Hg32 0.616 0.872 0.442
Hg33 0.884 0.826 0.756
Hg34 0.884 0.058 0.628
Hg35 0.872 0.256 0.430
Hg36 0.174 0.058 0.930
Hg37 0.628 0.558 0.884
Hg38 0.442 0.070 0.326
Hg39 0.256 0.384 0.826
Hg40 0.244 0.570 0.628
Hg41 0.942 0.116 0.872
Hg42 0.674 0.244 0.616
Hg43 0.430 0.756 0.872
Hg44 0.070 0.442 0.826
Hg45 0.384 0.256 0.326
Hg46 0.070 0.628 0.744
Hg47 0.674 0.430 0.558
Hg48 0.256 0.872 0.930

Summary:
total magnetic moment: 0.00 μB/atom
E_form: 0.1551 eV per atom

Calculated theoretical density, 8253; 5625; 9673 kg/m³ (same order as the records).